Entry 1:
Computed, not measured: an optimized crystal structure of K2UInO6 at the PBE level of DFT.

The structure in extended XYZ format:
```
10
Lattice="-2.1557 4.0506 -3.8909 -5.6009 -1.2328 1.8196 -3.5751 4.4304 1.9438" Properties=species:S:1:pos:R:3 pbc="T T T"
In 0.0000 0.0000 0.0000
U -3.8783 1.4089 -1.0356
O -1.9929 0.7239 -0.5321
O -8.2906 4.5551 2.2959
O -3.0410 2.6931 -2.4234
O -9.3388 6.5242 0.4047
O -3.7307 2.8780 0.4130
O -7.6009 4.3701 -0.5404
K -4.8046 4.9451 -1.4914
K -6.5271 2.3031 1.3640
```

Values from the calculation:
- Crystal system: cubic
- SG: Fm-3m (225)
- Theoretical density: 5.68 Mg/m³
- Calculated total energy: -6.766 eV/atom



Entry 2:
Computed, not measured: an optimized crystal structure of HoPaGaSn at the PBE level of DFT.

The structure in extended XYZ format:
```
4
Lattice="-4.9232 -0.0349 1.6643 -3.9028 -0.0326 -3.4316 -2.9104 -4.2657 -0.5847" Properties=species:S:1:pos:R:3 pbc="T T T"
Ho -2.9341 -1.0833 -0.5880
Sn -5.8682 -2.1666 -1.1760
Ga 0.0000 0.0000 0.0000
Pa -8.8023 -3.2499 -1.7640
```

Values from the calculation:
- Crystal system: cubic
- DFT formation energy: -0.258 eV per atom
- SG: F-43m (216)
- Theoretical density: 9.78 Mg/m³
- Calculated total energy: -5.534 eV/atom



Entry 3:
Computed, not measured: an optimized crystal structure of Nb2CoC2 at the PBE level of DFT.

The structure in extended XYZ format:
```
5
Lattice="-4.6469 -0.4583 0.0008 0.4581 -4.6441 0.1631 -2.1030 -2.4589 2.7349" Properties=species:S:1:pos:R:3 pbc="T T T"
Co 0.0000 0.0000 0.0000
C -4.1951 -5.0347 2.1091
C -2.0967 -2.5266 0.7897
Nb -4.4222 -2.7342 1.4089
Nb -1.8697 -4.8271 1.4900
```

Values from the calculation:
- Crystal system: tetragonal
- DFT formation energy: 0.269 eV per atom
- SG: I4/mmm (139)
- Theoretical density: 7.71 Mg/m³
- Calculated total energy: -8.869 eV/atom



Entry 4:
Computed, not measured: an optimized crystal structure of Ac6AsPb3Se2 at the PBE level of DFT.

The structure in extended XYZ format:
```
12
Lattice="4.6458 0.0000 0.0000 0.0000 9.4842 0.2076 -2.3229 -2.8661 9.8928" Properties=species:S:1:pos:R:3 pbc="T T T"
Ac 0.0000 2.2279 0.0964
Ac 2.3229 -0.1015 3.2138
Ac 2.3229 4.4956 3.4712
Ac 0.0000 6.7197 6.8865
Ac 2.3229 4.3903 10.0040
Ac 0.0000 2.1226 6.6292
Se 0.0000 2.2038 3.3698
Se 2.3229 4.4143 6.7306
Pb 0.0000 6.9237 3.5015
Pb 2.3229 4.7421 0.1038
Pb 2.3229 -0.3055 6.5989
As 2.3229 0.0000 0.0000
```

Values from the calculation:
- Crystal system: monoclinic
- SG: C2/m (12)
- Theoretical density: 8.39 Mg/m³
- Calculated total energy: -5.052 eV/atom



Q: Which formula does entry 3 have?
A: Nb2CoC2